Entry from the Alexandria database: an optimized crystal structure of AcNiGe2 (PBE-GGA).

a = 3.433 Å, b = 3.433 Å, c = 6.975 Å
α = 90.00°, β = 90.00°, γ = 90.00°
Space group P4/mmm (No. 123)
Unique sites:
Ac 0.000 0.000 0.000 x1
Ni 0.000 0.000 0.500 x1
Ge 0.500 0.500 0.322 x2

DOS at the Fermi energy   3.68 states/eV/cell
Total moment   0.000 μB per atom
ΔH_f (0 K)   -137.0 meV per atom